A plane-wave DFT calculation with PBE+U was carried out for a relaxed structure of Rb6CoF12.

Cell: 7.602 7.602 7.602 Å, 98.86 98.86 98.86°
Fractional coordinates of all 19 atoms:
Rb  0.158  0.264  0.605
Rb  0.264  0.605  0.158
Rb  0.395  0.842  0.736
Rb  0.605  0.158  0.264
Rb  0.736  0.395  0.842
Rb  0.842  0.736  0.395
Co  0.000  0.000  0.000
F  0.011  0.947  0.760
F  0.053  0.240  0.989
F  0.143  0.582  0.477
F  0.240  0.989  0.053
F  0.418  0.523  0.857
F  0.477  0.143  0.582
F  0.523  0.857  0.418
F  0.582  0.477  0.143
F  0.760  0.011  0.947
F  0.857  0.418  0.523
F  0.947  0.760  0.011
F  0.989  0.053  0.240

Computed properties:
Space group: R-3
Calculated total energy, eV/atom: -3.94